Record 1
Entry from Alexandria via LeMat-Bulk: TbPm2P3Rh4 after structural relaxation (PBE-GGA).

## Properties
The calculation puts the size of the total moment at 0.000 μB per formula unit. The calculated formation energy is -1.07 eV per atom. Its mass density is 8.69 g/cm³.

```
TbPm2P3Rh4
1.0
4.026 0.000 0.000
0.000 4.026 0.000
0.000 0.000 11.246
Tb Pm P Rh
1 2 3 4
Direct
0.000 0.000 0.000 Tb
0.000 0.500 0.723 Pm
0.500 0.000 0.277 Pm
0.000 0.500 0.376 P
0.500 0.000 0.624 P
0.500 0.500 0.000 P
0.000 0.000 0.500 Rh
0.000 0.500 0.170 Rh
0.500 0.000 0.830 Rh
0.500 0.500 0.500 Rh
```

=====

Record 2
Entry from Alexandria via LeMat-Bulk: TbPmP2Rh5 after structural relaxation (PBE-GGA).

## Properties
The calculation puts the size of the total moment at 0.000 μB per formula unit. The calculated formation energy is -0.76 eV per atom. Its mass density is 8.29 g/cm³.

```
TbPmP2Rh5
1.0
4.055 0.000 0.000
0.000 4.055 0.000
0.000 0.000 10.728
Tb Pm P Rh
1 1 2 5
Direct
0.000 0.000 0.000 Tb
0.000 0.000 0.500 Pm
0.500 0.500 0.289 P
0.500 0.500 0.711 P
0.000 0.500 0.196 Rh
0.000 0.500 0.804 Rh
0.500 0.000 0.196 Rh
0.500 0.000 0.804 Rh
0.500 0.500 0.500 Rh
```

=====

Record 3
Entry from Alexandria via LeMat-Bulk: Pm8Te3PRh3 after structural relaxation (PBE-GGA).

## Properties
The calculation puts the size of the total moment at 0.000 μB per formula unit. Its mass density is 6.97 g/cm³. The formation energy (no corrections) comes out at -0.9970 eV per atom.

```
Pm8Te3PRh3
1.0
4.217 2.435 7.283
-4.217 2.435 7.283
0.000 -4.869 7.283
Pm Te P Rh
8 3 1 3
Direct
0.234 0.737 0.737 Pm
0.238 0.238 0.238 Pm
0.263 0.263 0.766 Pm
0.263 0.766 0.263 Pm
0.737 0.234 0.737 Pm
0.737 0.737 0.234 Pm
0.762 0.762 0.762 Pm
0.766 0.263 0.263 Pm
0.000 0.500 0.500 Te
0.500 0.000 0.500 Te
0.500 0.500 0.000 Te
0.500 0.500 0.500 P
0.000 0.000 0.500 Rh
0.000 0.500 0.000 Rh
0.500 0.000 0.000 Rh
```

=====

Record 4
Entry from Alexandria via LeMat-Bulk: Pm8Te4PRh3 after structural relaxation (PBE-GGA).

## Properties
The calculation puts the size of the total moment at 0.000 μB per formula unit. Its mass density is 7.29 g/cm³. The formation energy (no corrections) comes out at -1.1339 eV per atom.

```
Pm8Te4PRh3
1.0
4.231 2.443 7.379
-4.231 2.443 7.379
0.000 -4.886 7.379
Pm Te P Rh
8 4 1 3
Direct
0.233 0.739 0.739 Pm
0.238 0.238 0.238 Pm
0.261 0.261 0.767 Pm
0.261 0.767 0.261 Pm
0.739 0.233 0.739 Pm
0.739 0.739 0.233 Pm
0.762 0.762 0.762 Pm
0.767 0.261 0.261 Pm
0.000 0.000 0.000 Te
0.000 0.500 0.500 Te
0.500 0.000 0.500 Te
0.500 0.500 0.000 Te
0.500 0.500 0.500 P
0.000 0.000 0.500 Rh
0.000 0.500 0.000 Rh
0.500 0.000 0.000 Rh
```

=====

Record 5
Entry from Alexandria via LeMat-Bulk: Pm8Te4P3Rh after structural relaxation (PBE-GGA).

## Properties
The calculation puts the size of the total moment at 0.000 μB per formula unit. Its mass density is 6.84 g/cm³. The formation energy (no corrections) comes out at -1.4147 eV per atom.

```
Pm8Te4P3Rh
1.0
4.252 2.455 7.227
-4.252 2.455 7.227
0.000 -4.910 7.227
Pm Te P Rh
8 4 3 1
Direct
0.238 0.238 0.238 Pm
0.240 0.737 0.737 Pm
0.263 0.263 0.760 Pm
0.263 0.760 0.263 Pm
0.737 0.240 0.737 Pm
0.737 0.737 0.240 Pm
0.760 0.263 0.263 Pm
0.762 0.762 0.762 Pm
0.000 0.000 0.000 Te
0.000 0.500 0.500 Te
0.500 0.000 0.500 Te
0.500 0.500 0.000 Te
0.000 0.000 0.500 P
0.000 0.500 0.000 P
0.500 0.000 0.000 P
0.500 0.500 0.500 Rh
```

=====

Record 6
Entry from Alexandria via LeMat-Bulk: PmTh2P3Rh12 after structural relaxation (PBE-GGA).

## Properties
The calculation puts the size of the total moment at 0.000 μB per formula unit. The calculated formation energy is -0.44 eV per atom. Its mass density is 10.40 g/cm³.

```
PmTh2P3Rh12
1.0
4.513 2.606 4.382
-4.513 2.606 4.382
0.000 -5.211 4.382
Pm Th P Rh
1 2 3 12
Direct
0.000 0.000 0.000 Pm
0.371 0.371 0.371 Th
0.629 0.629 0.629 Th
0.000 0.000 0.500 P
0.000 0.500 0.000 P
0.500 0.000 0.000 P
0.092 0.638 0.638 Rh
0.180 0.180 0.656 Rh
0.180 0.656 0.180 Rh
0.344 0.820 0.820 Rh
0.362 0.362 0.908 Rh
0.362 0.908 0.362 Rh
0.638 0.092 0.638 Rh
0.638 0.638 0.092 Rh
0.656 0.180 0.180 Rh
0.820 0.344 0.820 Rh
0.820 0.820 0.344 Rh
0.908 0.362 0.362 Rh
```